Record 1
# LiMg2Cd2In6

A relaxed LiMg2Cd2In6 crystal (PBE-GGA, Alexandria).

Summary:
* energy of formation: 0.00 eV per atom
* total moment: 0.000 μB/atom
* density: 5.767 g/cm³

Lattice parameters (Å, degrees): 6.4450 6.4450 7.7585 90.00 90.00 120.00
Space group P-3m1 (No. 164)
Unique sites:
Li 0.0000 0.0000 0.0000 (multiplicity 1)
Mg 0.3333 0.6667 0.3787 (multiplicity 2)
Cd 0.3333 0.6667 0.0132 (multiplicity 2)
In 0.1641 0.3281 0.6896 (multiplicity 6)

Record 2
# LaTa2Rh

A relaxed LaTa2Rh crystal (PBE-GGA, Alexandria).

Summary:
* energy of formation: 0.18 eV per atom
* total moment: 0.000 μB/atom
* energy relative to the lowest polymorph listed for this composition: 256 meV per atom
* density: 12.621 g/cm³

Lattice parameters (Å, degrees): 6.824 6.824 6.824 90.00 90.00 90.00
Space group F-43m (No. 216)
Unique sites:
La 0.000 0.000 0.000 (multiplicity 4)
Ta 0.000 0.000 0.500 (multiplicity 4)
Ta 0.250 0.250 0.750 (multiplicity 4)
Rh 0.250 0.250 0.250 (multiplicity 4)

Record 3
# Sc2GaTc

A relaxed Sc2GaTc crystal (PBE-GGA, Alexandria).

Summary:
* energy of formation: -0.46 eV per atom
* total moment: 0.000 μB/atom
* density: 5.925 g/cm³

Lattice parameters (Å, degrees): 3.360 3.360 6.394 90.00 90.00 90.00
Space group P4/mmm (No. 123)
Unique sites:
Sc 0.000 0.000 0.233 (multiplicity 2)
Ga 0.500 0.500 0.500 (multiplicity 1)
Tc 0.500 0.500 0.000 (multiplicity 1)

Record 4
# HoLuTh

A relaxed HoLuTh crystal (PBE-GGA, Alexandria).

Summary:
* energy of formation: 0.03 eV per atom
* total moment: 0.000 μB/atom
* energy relative to the lowest polymorph listed for this composition: 5 meV per atom
* density: 10.179 g/cm³

Lattice parameters (Å, degrees): 3.546 3.546 14.840 90.00 90.00 90.00
Space group I4mm (No. 107)
Unique sites:
Ho 0.000 0.000 0.000 (multiplicity 2)
Lu 0.000 0.000 0.674 (multiplicity 2)
Th 0.000 0.000 0.336 (multiplicity 2)

Record 5
# Li14MgTl

A relaxed Li14MgTl crystal (PBE-GGA, Alexandria).

Summary:
* energy of formation: -0.05 eV per atom
* total moment: 0.000 μB/atom
* density: 1.716 g/cm³

Lattice parameters (Å, degrees): 9.769 6.684 9.661 90.00 90.00 90.00
Space group Amm2 (No. 38)
Unique sites:
Li 0.000 0.000 0.000 (multiplicity 2)
Li 0.000 0.000 0.499 (multiplicity 2)
Li 0.000 0.249 0.749 (multiplicity 4)
Li 0.251 0.250 0.479 (multiplicity 8)
Li 0.256 0.000 0.233 (multiplicity 4)
Li 0.257 0.000 0.724 (multiplicity 4)
Li 0.500 0.249 0.226 (multiplicity 4)
Mg 0.500 0.000 0.975 (multiplicity 2)
Tl 0.500 0.000 0.476 (multiplicity 2)

Record 6
# CoSb8Pd2

A relaxed CoSb8Pd2 crystal (PBE-GGA, Alexandria).

Summary:
* total moment: 0.000 μB/atom
* E_form (uncorrected): -0.132 eV/atom
* density: 7.786 g/cm³

Lattice parameters (Å, degrees): 5.699 6.836 7.091 75.61 85.11 84.23
Space group P-1 (No. 2)
Unique sites:
Co 0.000 0.000 0.000 (multiplicity 1)
Sb 0.204 0.320 0.394 (multiplicity 2)
Sb 0.204 0.333 0.943 (multiplicity 2)
Sb 0.270 0.939 0.718 (multiplicity 2)
Sb 0.329 0.834 0.214 (multiplicity 2)
Pd 0.283 0.600 0.581 (multiplicity 2)

Record 7
# BaInIr2O8

A relaxed BaInIr2O8 crystal (PBE-GGA, Alexandria).

Summary:
* total moment: 0.092 μB/atom
* E_form (uncorrected): -0.919 eV/atom
* density: 6.072 g/cm³

Lattice parameters (Å, degrees): 5.5408 5.5408 7.8639 90.00 90.00 120.00
Space group P-3 (No. 147)
Unique sites:
Ba 0.0000 0.0000 0.0000 (multiplicity 1)
In 0.0000 0.0000 0.5000 (multiplicity 1)
Ir 0.3333 0.6667 0.7239 (multiplicity 2)
O 0.0397 0.3092 0.6871 (multiplicity 6)
O 0.3333 0.6667 0.9600 (multiplicity 2)

Record 8
# BaTa2ReSe

A relaxed BaTa2ReSe crystal (PBE-GGA, Alexandria).

Summary:
* total moment: 0.000 μB/atom
* E_form (uncorrected): 0.858 eV/atom
* density: 9.098 g/cm³

Lattice parameters (Å, degrees): 4.859 4.859 5.910 90.00 90.00 90.00
Space group P4/mmm (No. 123)
Unique sites:
Ba 0.000 0.000 0.000 (multiplicity 1)
Ta 0.000 0.500 0.500 (multiplicity 2)
Re 0.500 0.500 0.500 (multiplicity 1)
Se 0.500 0.500 0.000 (multiplicity 1)

Record 9
# SiOsCl2

A relaxed SiOsCl2 crystal (PBE-GGA, Alexandria).

Summary:
* total moment: 0.202 μB/atom
* energy relative to the lowest polymorph listed for this composition: 398 meV per atom
* E_form (uncorrected): 0.200 eV/atom
* density: 5.426 g/cm³

Lattice parameters (Å, degrees): 14.903 2.973 4.029 90.00 97.31 90.00
Space group C2/m (No. 12)
Unique sites:
Si 0.000 0.000 0.000 (multiplicity 2)
Os 0.000 0.500 0.500 (multiplicity 2)
Cl 0.140 0.000 0.713 (multiplicity 4)

Record 10
# Y2Mg2Sn

A relaxed Y2Mg2Sn crystal (PBE-GGA, Alexandria).

Summary:
* energy of formation: -0.01 eV per atom
* total moment: 0.000 μB/atom
* energy relative to the lowest polymorph listed for this composition: 250 meV per atom
* density: 3.953 g/cm³

Lattice parameters (Å, degrees): 8.248 8.248 4.262 90.00 90.00 90.00
Space group P4/mbm (No. 127)
Unique sites:
Y 0.153 0.347 0.000 (multiplicity 4)
Mg 0.147 0.647 0.500 (multiplicity 4)
Sn 0.000 0.000 0.000 (multiplicity 2)

Record 11
# TcS2Cl

A relaxed TcS2Cl crystal (PBE-GGA, Alexandria).

Summary:
* total moment: 0.000 μB/atom
* energy relative to the lowest polymorph listed for this composition: 111 meV per atom
* E_form (uncorrected): -0.059 eV/atom
* density: 3.415 g/cm³

Lattice parameters (Å, degrees): 6.359 6.359 9.505 90.00 90.00 90.00
Space group I-42d (No. 122)
Unique sites:
Tc 0.000 0.000 0.000 (multiplicity 4)
S 0.151 0.250 0.125 (multiplicity 8)
Cl 0.000 0.000 0.500 (multiplicity 4)

Record 12
# TaTl2Sb

A relaxed TaTl2Sb crystal (PBE-GGA, Alexandria).

Summary:
* total moment: 0.000 μB/atom
* energy relative to the lowest polymorph listed for this composition: 393 meV per atom
* E_form (uncorrected): 0.651 eV/atom
* density: 12.356 g/cm³

Lattice parameters (Å, degrees): 4.457 4.457 9.627 90.00 90.00 90.00
Space group I-4m2 (No. 119)
Unique sites:
Ta 0.000 0.000 0.000 (multiplicity 2)
Tl 0.000 0.000 0.500 (multiplicity 2)
Tl 0.000 0.500 0.750 (multiplicity 2)
Sb 0.000 0.500 0.250 (multiplicity 2)

Record 13
# CeDyPu2

A relaxed CeDyPu2 crystal (PBE-GGA, Alexandria).

Summary:
* energy of formation: 0.24 eV per atom
* total moment: 0.108 μB/atom
* energy relative to the lowest polymorph listed for this composition: 90 meV per atom
* density: 11.712 g/cm³

Lattice parameters (Å, degrees): 3.3786 3.3786 34.0151 90.00 90.00 120.00
Space group R3m (No. 160, hexagonal axes)
Unique sites:
Ce 0.0000 0.0000 0.0000 (multiplicity 3)
Dy 0.0000 0.0000 0.2480 (multiplicity 3)
Pu 0.0000 0.0000 0.7460 (multiplicity 3)
Pu 0.0000 0.0000 0.8290 (multiplicity 3)

Record 14
# Pm5InGa4

A relaxed Pm5InGa4 crystal (PBE-GGA, Alexandria).

Summary:
* energy of formation: -0.55 eV per atom
* total moment: 0.000 μB/atom
* density: 7.304 g/cm³

Lattice parameters (Å, degrees): 3.685 3.685 18.732 90.00 90.00 90.00
Space group P4/mmm (No. 123)
Unique sites:
Pm 0.000 0.000 0.000 (multiplicity 1)
Pm 0.000 0.000 0.194 (multiplicity 2)
Pm 0.000 0.000 0.389 (multiplicity 2)
In 0.500 0.500 0.500 (multiplicity 1)
Ga 0.500 0.500 0.097 (multiplicity 2)
Ga 0.500 0.500 0.292 (multiplicity 2)

Record 15
# BaTcCl2

A relaxed BaTcCl2 crystal (PBE-GGA, Alexandria).

Summary:
* total moment: 0.750 μB/atom
* energy relative to the lowest polymorph listed for this composition: 151 meV per atom
* E_form (uncorrected): -0.435 eV/atom
* density: 4.405 g/cm³

Lattice parameters (Å, degrees): 5.280 5.280 16.562 90.00 90.00 90.00
Space group I-42d (No. 122)
Unique sites:
Ba 0.000 0.000 0.000 (multiplicity 4)
Tc 0.000 0.000 0.500 (multiplicity 4)
Cl 0.165 0.250 0.625 (multiplicity 8)

Record 16
# RbMg

A relaxed RbMg crystal (PBE-GGA, Alexandria).

Summary:
* energy of formation: 0.40 eV per atom
* total moment: 0.000 μB/atom
* density: 0.963 g/cm³

Lattice parameters (Å, degrees): 11.484 11.484 11.484 90.00 90.00 90.00
Space group I-43m (No. 217)
Unique sites:
Rb 0.211 0.211 0.789 (multiplicity 8)
Mg 0.094 0.094 0.094 (multiplicity 8)

Record 17
# Nd2ZnBi4

A relaxed Nd2ZnBi4 crystal (PBE-GGA, Alexandria).

Summary:
* energy of formation: -0.55 eV per atom
* total moment: 0.000 μB/atom
* density: 9.334 g/cm³

Lattice parameters (Å, degrees): 4.610 4.610 9.962 90.00 90.00 90.00
Space group P-4m2 (No. 115)
Unique sites:
Nd 0.000 0.500 0.241 (multiplicity 2)
Zn 0.500 0.500 0.000 (multiplicity 1)
Bi 0.000 0.000 0.500 (multiplicity 1)
Bi 0.000 0.500 0.840 (multiplicity 2)
Bi 0.500 0.500 0.500 (multiplicity 1)

Record 18
# BaSc3H

A relaxed BaSc3H crystal (PBE-GGA, Alexandria).

Summary:
* total moment: 0.000 μB/atom
* energy relative to the lowest polymorph listed for this composition: 1632 meV per atom
* density: 2.822 g/cm³

Lattice parameters (Å, degrees): 5.437 5.437 5.437 90.00 90.00 90.00
Space group Pm-3m (No. 221)
Unique sites:
Ba 0.000 0.000 0.000 (multiplicity 1)
Sc 0.000 0.000 0.500 (multiplicity 3)
H 0.500 0.500 0.500 (multiplicity 1)

Record 19
# Al2FeTe

A relaxed Al2FeTe crystal (PBE-GGA, Alexandria).

Summary:
* total moment: 0.098 μB/atom
* E_form (uncorrected): 0.003 eV/atom
* density: 5.159 g/cm³

Lattice parameters (Å, degrees): 8.645 3.025 6.188 90.00 109.17 90.00
Space group Cm (No. 8)
Unique sites:
Al 0.000 0.000 0.000 (multiplicity 2)
Al 0.212 0.000 0.725 (multiplicity 2)
Fe 0.484 0.000 0.691 (multiplicity 2)
Te 0.356 0.500 0.345 (multiplicity 2)